A relaxed structure of HoThAs2. Source: the Open Quantum Materials Database, functional GGA-PBE.

```
HoThAs2
1.0
-1.6631 3.4339 1.7350
0.2973 0.6141 4.1355
6.3082 1.9491 -2.8622
Th As Ho
1 2 1
direct
0.5000 0.5000 0.5000
0.7469 0.7469 0.2406
0.2531 0.2531 0.7594
0.0000 0.0000 0.0000
```

Symmetry: R-3m, No. 166
Crystal system: trigonal
DFT total energy, eV per cell: -27.2